No. 1
# Pu2ZrMn (PBE, optimized geometry)
data_Pu2ZrMn
_chemical_formula_sum 'Pu6 Zr3 Mn3'
_space_group_name_H-M_alt 'R -3 m'
_space_group_IT_number 166
_space_group_name_Hall '-R 3 2"'
_cell_length_a 3.1538
_cell_length_b 3.1538
_cell_length_c 30.9047
_cell_angle_alpha 90.00
_cell_angle_beta 90.00
_cell_angle_gamma 120.00
loop_
_atom_site_label
_atom_site_fract_x
_atom_site_fract_y
_atom_site_fract_z
Pu1 0.0000 0.0000 0.0975
Zr1 0.0000 0.0000 0.0000
Mn1 0.0000 0.0000 0.5000
# * ρ: 11.867 g/cm3
# * crystal system: trigonal
# * energy of formation from the pure elements: 40 kJ/mol of atoms



No. 2
# PuZrMn (PBE, optimized geometry)
data_PuZrMn
_chemical_formula_sum 'Pu2 Zr2 Mn2'
_space_group_name_H-M_alt 'P -1'
_space_group_IT_number 2
_cell_length_a 4.775
_cell_length_b 5.469
_cell_length_c 5.616
_cell_angle_alpha 108.17
_cell_angle_beta 102.42
_cell_angle_gamma 114.86
loop_
_space_group_symop_operation_xyz
'x,y,z'
'-x,-y,-z'
loop_
_atom_site_label
_atom_site_fract_x
_atom_site_fract_y
_atom_site_fract_z
Pu1 0.160 0.162 0.322
Zr1 0.343 0.682 0.001
Mn1 0.253 0.754 0.508
# * ρ: 11.190 g/cm3
# * crystal system: triclinic
# * energy of formation from the pure elements: 0 kJ/mol of atoms



No. 3
# PuZr2Mn (PBE, optimized geometry)
data_PuZr2Mn
_chemical_formula_sum 'Pu1 Zr2 Mn1'
_space_group_name_H-M_alt 'P 4/m m m'
_space_group_IT_number 123
_space_group_name_Hall '-P 4 2'
_cell_length_a 3.202
_cell_length_b 3.202
_cell_length_c 7.874
_cell_angle_alpha 90.00
_cell_angle_beta 90.00
_cell_angle_gamma 90.00
loop_
_atom_site_label
_atom_site_fract_x
_atom_site_fract_y
_atom_site_fract_z
Pu1 0.000 0.000 0.000
Zr1 0.500 0.500 0.301
Mn1 0.000 0.000 0.500
# * ρ: 9.900 g/cm3
# * crystal system: tetragonal
# * energy of formation from the pure elements: 6 kJ/mol of atoms



No. 4
# RbMn2Re (PBE, optimized geometry)
data_RbMn2Re
_chemical_formula_sum 'Rb4 Mn8 Re4'
_space_group_name_H-M_alt 'I 41/a m d'
_space_group_IT_number 141
_cell_length_a 5.528
_cell_length_b 5.528
_cell_length_c 15.376
_cell_angle_alpha 90.00
_cell_angle_beta 90.00
_cell_angle_gamma 90.00
loop_
_space_group_symop_operation_xyz
'x,y,z'
'-x,-y,-z'
'-y+1/4,x+3/4,z+1/4'
'y+1/4,-x+3/4,-z+1/4'
'-x+1/2,-y,z+1/2'
'x+1/2,y,-z+1/2'
'y+1/4,-x+1/4,z+3/4'
'-y+1/4,x+1/4,-z+3/4'
'x,-y,-z'
'-x,y,z'
'-y+1/4,-x+1/4,-z+3/4'
'y+1/4,x+1/4,z+3/4'
'-x+1/2,y,-z+1/2'
'x+1/2,-y,z+1/2'
'y+1/4,x+3/4,-z+1/4'
'-y+1/4,-x+3/4,z+1/4'
'x+1/2,y+1/2,z+1/2'
'-x+1/2,-y+1/2,-z+1/2'
'-y+3/4,x+1/4,z+3/4'
'y+3/4,-x+1/4,-z+3/4'
'-x,-y+1/2,z'
'x,y+1/2,-z'
'y+3/4,-x+3/4,z+1/4'
'-y+3/4,x+3/4,-z+1/4'
'x+1/2,-y+1/2,-z+1/2'
'-x+1/2,y+1/2,z+1/2'
'-y+3/4,-x+3/4,-z+1/4'
'y+3/4,x+3/4,z+1/4'
'-x,y+1/2,-z'
'x,-y+1/2,z'
'y+3/4,x+1/4,-z+3/4'
'-y+3/4,-x+1/4,z+3/4'
loop_
_atom_site_label
_atom_site_fract_x
_atom_site_fract_y
_atom_site_fract_z
Rb1 0.000 0.250 0.375
Mn1 0.000 0.000 0.000
Re1 0.000 0.250 0.875
# * ρ: 5.393 g/cm3
# * crystal system: tetragonal
# * energy of formation from the pure elements: 135 kJ/mol of atoms



No. 5
# RbMn3Re (PBE, optimized geometry)
data_RbMn3Re
_chemical_formula_sum 'Rb1 Mn3 Re1'
_space_group_name_H-M_alt 'P m -3 m'
_space_group_IT_number 221
_space_group_name_Hall '-P 4 2 3'
_cell_length_a 4.961
_cell_length_b 4.961
_cell_length_c 4.961
_cell_angle_alpha 90.00
_cell_angle_beta 90.00
_cell_angle_gamma 90.00
loop_
_atom_site_label
_atom_site_fract_x
_atom_site_fract_y
_atom_site_fract_z
Rb1 0.000 0.000 0.000
Mn1 0.000 0.500 0.500
Re1 0.500 0.500 0.500
# * ρ: 5.937 g/cm3
# * crystal system: cubic
# * energy of formation from the pure elements: 113 kJ/mol of atoms



No. 6
# RbMn2Re (PBE, optimized geometry)
data_RbMn2Re
_chemical_formula_sum 'Rb4 Mn8 Re4'
_space_group_name_H-M_alt 'F m -3 m'
_space_group_IT_number 225
_space_group_name_Hall '-F 4 2 3'
_cell_length_a 6.316
_cell_length_b 6.316
_cell_length_c 6.316
_cell_angle_alpha 90.00
_cell_angle_beta 90.00
_cell_angle_gamma 90.00
loop_
_atom_site_label
_atom_site_fract_x
_atom_site_fract_y
_atom_site_fract_z
Rb1 0.000 0.000 0.000
Mn1 0.250 0.250 0.250
Re1 0.000 0.000 0.500
# * ρ: 10.059 g/cm3
# * crystal system: cubic
# * energy of formation from the pure elements: 187 kJ/mol of atoms



No. 7
# RbMn3Re (PBE, optimized geometry)
data_RbMn3Re
_chemical_formula_sum 'Rb1 Mn3 Re1'
_space_group_name_H-M_alt 'P m -3 m'
_space_group_IT_number 221
_space_group_name_Hall '-P 4 2 3'
_cell_length_a 4.613
_cell_length_b 4.613
_cell_length_c 4.613
_cell_angle_alpha 90.00
_cell_angle_beta 90.00
_cell_angle_gamma 90.00
loop_
_atom_site_label
_atom_site_fract_x
_atom_site_fract_y
_atom_site_fract_z
Rb1 0.000 0.000 0.000
Mn1 0.000 0.000 0.500
Re1 0.500 0.500 0.500
# * ρ: 7.384 g/cm3
# * crystal system: cubic
# * energy of formation from the pure elements: 290 kJ/mol of atoms



No. 8
# Rb2MnRe (PBE, optimized geometry)
data_Rb2MnRe
_chemical_formula_sum 'Rb8 Mn4 Re4'
_space_group_name_H-M_alt 'I -4 2 d'
_space_group_IT_number 122
_space_group_name_Hall 'I -4 2bw'
_cell_length_a 13.451
_cell_length_b 13.451
_cell_length_c 4.550
_cell_angle_alpha 90.00
_cell_angle_beta 90.00
_cell_angle_gamma 90.00
loop_
_atom_site_label
_atom_site_fract_x
_atom_site_fract_y
_atom_site_fract_z
Rb1 0.068 0.250 0.125
Mn1 0.000 0.000 0.000
Re1 0.000 0.000 0.500
# * ρ: 3.325 g/cm3
# * crystal system: tetragonal
# * energy of formation from the pure elements: 142 kJ/mol of atoms



No. 9
# RbMnRe2 (PBE, optimized geometry)
data_RbMnRe2
_chemical_formula_sum 'Rb4 Mn4 Re8'
_space_group_name_H-M_alt 'I 41/a m d'
_space_group_IT_number 141
_cell_length_a 5.077
_cell_length_b 5.077
_cell_length_c 15.924
_cell_angle_alpha 90.00
_cell_angle_beta 90.00
_cell_angle_gamma 90.00
loop_
_space_group_symop_operation_xyz
'x,y,z'
'-x,-y,-z'
'-y+1/4,x+3/4,z+1/4'
'y+1/4,-x+3/4,-z+1/4'
'-x+1/2,-y,z+1/2'
'x+1/2,y,-z+1/2'
'y+1/4,-x+1/4,z+3/4'
'-y+1/4,x+1/4,-z+3/4'
'x,-y,-z'
'-x,y,z'
'-y+1/4,-x+1/4,-z+3/4'
'y+1/4,x+1/4,z+3/4'
'-x+1/2,y,-z+1/2'
'x+1/2,-y,z+1/2'
'y+1/4,x+3/4,-z+1/4'
'-y+1/4,-x+3/4,z+1/4'
'x+1/2,y+1/2,z+1/2'
'-x+1/2,-y+1/2,-z+1/2'
'-y+3/4,x+1/4,z+3/4'
'y+3/4,-x+1/4,-z+3/4'
'-x,-y+1/2,z'
'x,y+1/2,-z'
'y+3/4,-x+3/4,z+1/4'
'-y+3/4,x+3/4,-z+1/4'
'x+1/2,-y+1/2,-z+1/2'
'-x+1/2,y+1/2,z+1/2'
'-y+3/4,-x+3/4,-z+1/4'
'y+3/4,x+3/4,z+1/4'
'-x,y+1/2,-z'
'x,-y+1/2,z'
'y+3/4,x+1/4,-z+3/4'
'-y+3/4,-x+1/4,z+3/4'
loop_
_atom_site_label
_atom_site_fract_x
_atom_site_fract_y
_atom_site_fract_z
Rb1 0.000 0.250 0.375
Mn1 0.000 0.250 0.875
Re1 0.000 0.000 0.000
# * ρ: 8.299 g/cm3
# * crystal system: tetragonal
# * energy of formation from the pure elements: 181 kJ/mol of atoms



No. 10
# Rb2MnRe (PBE, optimized geometry)
data_Rb2MnRe
_chemical_formula_sum 'Rb8 Mn4 Re4'
_space_group_name_H-M_alt 'F m -3 m'
_space_group_IT_number 225
_space_group_name_Hall '-F 4 2 3'
_cell_length_a 8.392
_cell_length_b 8.392
_cell_length_c 8.392
_cell_angle_alpha 90.00
_cell_angle_beta 90.00
_cell_angle_gamma 90.00
loop_
_atom_site_label
_atom_site_fract_x
_atom_site_fract_y
_atom_site_fract_z
Rb1 0.250 0.250 0.250
Mn1 0.000 0.000 0.000
Re1 0.000 0.000 0.500
# * ρ: 4.631 g/cm3
# * crystal system: cubic
# * energy of formation from the pure elements: 200 kJ/mol of atoms



No. 11
# RbMnRe2 (PBE, optimized geometry)
data_RbMnRe2
_chemical_formula_sum 'Rb4 Mn4 Re8'
_space_group_name_H-M_alt 'F m -3 m'
_space_group_IT_number 225
_space_group_name_Hall '-F 4 2 3'
_cell_length_a 6.359
_cell_length_b 6.359
_cell_length_c 6.359
_cell_angle_alpha 90.00
_cell_angle_beta 90.00
_cell_angle_gamma 90.00
loop_
_atom_site_label
_atom_site_fract_x
_atom_site_fract_y
_atom_site_fract_z
Rb1 0.000 0.000 0.000
Mn1 0.000 0.000 0.500
Re1 0.250 0.250 0.250
# * ρ: 13.248 g/cm3
# * crystal system: cubic
# * energy of formation from the pure elements: 206 kJ/mol of atoms



No. 12
# RbTa2MnRe (PBE, optimized geometry)
data_RbTa2MnRe
_chemical_formula_sum 'Rb1 Ta2 Mn1 Re1'
_space_group_name_H-M_alt 'P 4/m m m'
_space_group_IT_number 123
_space_group_name_Hall '-P 4 2'
_cell_length_a 4.776
_cell_length_b 4.776
_cell_length_c 4.663
_cell_angle_alpha 90.00
_cell_angle_beta 90.00
_cell_angle_gamma 90.00
loop_
_atom_site_label
_atom_site_fract_x
_atom_site_fract_y
_atom_site_fract_z
Rb1 0.000 0.000 0.000
Ta1 0.000 0.500 0.500
Mn1 0.500 0.500 0.500
Re1 0.500 0.500 0.000
# * ρ: 10.751 g/cm3
# * crystal system: tetragonal
# * energy of formation from the pure elements: 146 kJ/mol of atoms